{"formula": "YMoRu", "functional": "PBE", "state": "relaxed", "spacegroup": "No. 107", "total_magnetization_mub_per_cell": 0.00, "ef_ev_per_atom": 0.06, "dft_energy_ev_per_atom": -8.80, "polymorph_energy_mev_per_atom": 227, "crystal_system": "tetragonal", "lattice_angstrom": [[-3.2062, 2.0718, 4.8264], [-0.5169, 0.9350, 6.0601], [1.0393, 2.9587, 0.4612]], "species": ["Mo", "Ru", "Y"], "frac_coords": [[0.9721, 0.9721, 0.0279], [0.3598, 0.3598, 0.6402], [0.6681, 0.6681, 0.3319]]}

{"formula": "BaSr2W", "functional": "PBE", "state": "relaxed", "spacegroup": "No. 160", "total_magnetization_mub_per_cell": 1.59, "ef_ev_per_atom": 1.10, "dft_energy_ev_per_atom": -3.46, "polymorph_energy_mev_per_atom": 124, "crystal_system": "trigonal", "lattice_angstrom": [[12.4502, -0.0423, -0.0248], [11.8644, 3.7743, -0.0248], [11.8644, 1.8210, 3.3060]], "species": ["Sr", "W", "Sr", "Ba"], "frac_coords": [[0.2311, 0.2311, 0.2311], [0.5008, 0.5008, 0.5008], [0.9985, 0.9985, 0.9985], [0.7696, 0.7696, 0.7696]]}